# 1
Compound: ErPuAlTl
Source: Alexandria via LeMat-Bulk
Functional: PBE
Structure: relaxed

Calculated values
- DFT formation energy: -0.1437 eV per atom

Cell and atoms, written as CIF:
```
data_ErPuAlTl
_cell_length_a 7.414
_cell_length_b 7.414
_cell_length_c 7.414
_cell_angle_alpha 90.00
_cell_angle_beta 90.00
_cell_angle_gamma 90.00
_symmetry_space_group_name_H-M 'F -4 3 m'
_symmetry_Int_Tables_number 216
_symmetry_space_group_name_Hall 'F -4 2 3'
loop_
_atom_site_label
_atom_site_type_symbol
_atom_site_fract_x
_atom_site_fract_y
_atom_site_fract_z
Er1 Er 0.000 0.000 0.000
Pu1 Pu 0.000 0.000 0.500
Al1 Al 0.250 0.250 0.750
Tl1 Tl 0.250 0.250 0.250
```

***

# 2
Compound: AsPSe2O
Source: Alexandria via LeMat-Bulk
Functional: PBE
Structure: relaxed

Calculated values
- Energy relative to the elements, uncorrected: 1.10 eV per atom
- E above lowest polymorph: 399 meV per atom

Cell and atoms, written as CIF:
```
data_AsPSe2O
_cell_length_a 4.678
_cell_length_b 4.678
_cell_length_c 4.862
_cell_angle_alpha 90.00
_cell_angle_beta 90.00
_cell_angle_gamma 90.00
_symmetry_space_group_name_H-M 'P 4/m m m'
_symmetry_Int_Tables_number 123
_symmetry_space_group_name_Hall '-P 4 2'
loop_
_atom_site_label
_atom_site_type_symbol
_atom_site_fract_x
_atom_site_fract_y
_atom_site_fract_z
As1 As 0.000 0.000 0.000
P1 P 0.000 0.000 0.500
Se1 Se 0.000 0.500 0.500
O1 O 0.500 0.500 0.000
```

***

# 3
Compound: Sc4SbP
Source: Alexandria via LeMat-Bulk
Functional: PBE
Structure: relaxed

Calculated values
- Energy relative to the elements, uncorrected: -0.72 eV per atom
- E above lowest polymorph: 0 meV per atom

Cell and atoms, written as CIF:
```
data_Sc4SbP
_cell_length_a 14.389
_cell_length_b 5.659
_cell_length_c 6.928
_cell_angle_alpha 90.00
_cell_angle_beta 105.07
_cell_angle_gamma 90.00
_symmetry_space_group_name_H-M 'C 1 2/c 1'
_symmetry_Int_Tables_number 15
_symmetry_space_group_name_Hall '-C 2yc'
loop_
_atom_site_label
_atom_site_type_symbol
_atom_site_fract_x
_atom_site_fract_y
_atom_site_fract_z
Sc1 Sc 0.082 0.102 0.442
Sc2 Sc 0.173 0.399 0.144
Sb1 Sb 0.000 0.369 0.750
P1 P 0.250 0.250 0.500
```

***

# 4
Compound: SrTePt2
Source: Alexandria via LeMat-Bulk
Functional: PBE
Structure: relaxed

Calculated values
- Energy relative to the elements, uncorrected: -0.33 eV per atom
- E above lowest polymorph: 377 meV per atom

Cell and atoms, written as CIF:
```
data_SrTePt2
_cell_length_a 7.056
_cell_length_b 7.056
_cell_length_c 7.056
_cell_angle_alpha 90.00
_cell_angle_beta 90.00
_cell_angle_gamma 90.00
_symmetry_space_group_name_H-M 'F m -3 m'
_symmetry_Int_Tables_number 225
_symmetry_space_group_name_Hall '-F 4 2 3'
loop_
_atom_site_label
_atom_site_type_symbol
_atom_site_fract_x
_atom_site_fract_y
_atom_site_fract_z
Sr1 Sr 0.000 0.000 0.000
Te1 Te 0.000 0.000 0.500
Pt1 Pt 0.250 0.250 0.250
```

***

# 5
Compound: ThIn2Ge
Source: Alexandria via LeMat-Bulk
Functional: PBE
Structure: relaxed

Calculated values
- E above lowest polymorph: 0 meV per atom
- DFT formation energy: -0.3819 eV per atom

Cell and atoms, written as CIF:
```
data_ThIn2Ge
_cell_length_a 4.454
_cell_length_b 4.454
_cell_length_c 5.016
_cell_angle_alpha 90.00
_cell_angle_beta 90.00
_cell_angle_gamma 90.00
_symmetry_space_group_name_H-M 'P 4/m m m'
_symmetry_Int_Tables_number 123
_symmetry_space_group_name_Hall '-P 4 2'
loop_
_atom_site_label
_atom_site_type_symbol
_atom_site_fract_x
_atom_site_fract_y
_atom_site_fract_z
Th1 Th 0.000 0.000 0.000
In1 In 0.000 0.500 0.500
Ge1 Ge 0.500 0.500 0.000
```

***

# 6
Compound: Er3TmPu
Source: Alexandria via LeMat-Bulk
Functional: PBE
Structure: relaxed

Calculated values
- E above lowest polymorph: 793 meV per atom
- DFT formation energy: 0.8872 eV per atom

Cell and atoms, written as CIF:
```
data_Er3TmPu
_cell_length_a 6.162
_cell_length_b 6.162
_cell_length_c 22.160
_cell_angle_alpha 90.00
_cell_angle_beta 90.00
_cell_angle_gamma 90.00
_symmetry_space_group_name_H-M 'I -4 m 2'
_symmetry_Int_Tables_number 119
_symmetry_space_group_name_Hall 'I -4 -2'
loop_
_atom_site_label
_atom_site_type_symbol
_atom_site_fract_x
_atom_site_fract_y
_atom_site_fract_z
Er1 Er 0.000 0.000 0.225
Er2 Er 0.000 0.247 0.368
Tm1 Tm 0.000 0.000 0.500
Tm2 Tm 0.000 0.500 0.250
Pu1 Pu 0.000 0.500 0.674
```

***

# 7
Compound: FeReAs
Source: Alexandria via LeMat-Bulk
Functional: PBE
Structure: relaxed

Calculated values
- E above lowest polymorph: 233 meV per atom
- DFT formation energy: 0.4884 eV per atom

Cell and atoms, written as CIF:
```
data_FeReAs
_cell_length_a 3.072
_cell_length_b 4.475
_cell_length_c 12.876
_cell_angle_alpha 90.00
_cell_angle_beta 90.00
_cell_angle_gamma 90.00
_symmetry_space_group_name_H-M 'F m m 2'
_symmetry_Int_Tables_number 42
_symmetry_space_group_name_Hall 'F 2 -2'
loop_
_atom_site_label
_atom_site_type_symbol
_atom_site_fract_x
_atom_site_fract_y
_atom_site_fract_z
Fe1 Fe 0.000 0.000 0.000
Re1 Re 0.000 0.000 0.653
As1 As 0.000 0.000 0.338
```

***

# 8
Compound: MnAlSi
Source: Alexandria via LeMat-Bulk
Functional: PBE
Structure: relaxed

Calculated values
- Energy relative to the elements, uncorrected: -0.10 eV per atom

Cell and atoms, written as CIF:
```
data_MnAlSi
_cell_length_a 2.7669
_cell_length_b 2.7669
_cell_length_c 5.9984
_cell_angle_alpha 90.00
_cell_angle_beta 90.00
_cell_angle_gamma 120.00
_symmetry_space_group_name_H-M 'P 3 m 1'
_symmetry_Int_Tables_number 156
_symmetry_space_group_name_Hall 'P 3 -2"'
loop_
_atom_site_label
_atom_site_type_symbol
_atom_site_fract_x
_atom_site_fract_y
_atom_site_fract_z
Mn1 Mn 0.0000 0.0000 0.0000
Al1 Al 0.3333 0.6667 0.6720
Si1 Si 0.6667 0.3333 0.2985
```

***

# 9
Compound: Y2VInMo
Source: Alexandria via LeMat-Bulk
Functional: PBE
Structure: relaxed

Calculated values
- DFT formation energy: 0.5433 eV per atom

Cell and atoms, written as CIF:
```
data_Y2VInMo
_cell_length_a 5.501
_cell_length_b 5.501
_cell_length_c 4.451
_cell_angle_alpha 90.00
_cell_angle_beta 90.00
_cell_angle_gamma 90.00
_symmetry_space_group_name_H-M 'P 4/m m m'
_symmetry_Int_Tables_number 123
_symmetry_space_group_name_Hall '-P 4 2'
loop_
_atom_site_label
_atom_site_type_symbol
_atom_site_fract_x
_atom_site_fract_y
_atom_site_fract_z
Y1 Y 0.000 0.500 0.000
V1 V 0.000 0.000 0.500
In1 In 0.500 0.500 0.500
Mo1 Mo 0.000 0.000 0.000
```

***

# 10
Compound: Pm3SnCl2O6
Source: Alexandria via LeMat-Bulk
Functional: PBE
Structure: relaxed

Calculated values
- Energy relative to the elements, uncorrected: -2.22 eV per atom

Cell and atoms, written as CIF:
```
data_Pm3SnCl2O6
_cell_length_a 11.854
_cell_length_b 7.000
_cell_length_c 5.605
_cell_angle_alpha 90.00
_cell_angle_beta 98.77
_cell_angle_gamma 90.00
_symmetry_space_group_name_H-M 'C 1 2/m 1'
_symmetry_Int_Tables_number 12
_symmetry_space_group_name_Hall '-C 2y'
loop_
_atom_site_label
_atom_site_type_symbol
_atom_site_fract_x
_atom_site_fract_y
_atom_site_fract_z
Pm1 Pm 0.000 0.000 0.000
Pm2 Pm 0.250 0.250 0.500
Sn1 Sn 0.000 0.500 0.500
Cl1 Cl 0.213 0.000 0.860
O1 O 0.057 0.249 0.295
O2 O 0.166 0.500 0.660
```

***

# 11
Compound: La3GaP
Source: Alexandria via LeMat-Bulk
Functional: PBE
Structure: relaxed

Calculated values
- E above lowest polymorph: 0 meV per atom
- DFT formation energy: -0.8116 eV per atom

Cell and atoms, written as CIF:
```
data_La3GaP
_cell_length_a 15.385
_cell_length_b 4.390
_cell_length_c 9.195
_cell_angle_alpha 90.00
_cell_angle_beta 95.60
_cell_angle_gamma 90.00
_symmetry_space_group_name_H-M 'C 1 2/m 1'
_symmetry_Int_Tables_number 12
_symmetry_space_group_name_Hall '-C 2y'
loop_
_atom_site_label
_atom_site_type_symbol
_atom_site_fract_x
_atom_site_fract_y
_atom_site_fract_z
La1 La 0.038 0.000 0.309
La2 La 0.136 0.500 0.958
La3 La 0.234 0.000 0.655
Ga1 Ga 0.086 0.500 0.564
P1 P 0.194 0.000 0.155
```

***

# 12
Compound: V3CoSn
Source: Alexandria via LeMat-Bulk
Functional: PBE
Structure: relaxed

Calculated values
- E above lowest polymorph: 0 meV per atom
- DFT formation energy: 0.4670 eV per atom

Cell and atoms, written as CIF:
```
data_V3CoSn
_cell_length_a 4.355
_cell_length_b 4.355
_cell_length_c 4.355
_cell_angle_alpha 90.00
_cell_angle_beta 90.00
_cell_angle_gamma 90.00
_symmetry_space_group_name_H-M 'P m -3 m'
_symmetry_Int_Tables_number 221
_symmetry_space_group_name_Hall '-P 4 2 3'
loop_
_atom_site_label
_atom_site_type_symbol
_atom_site_fract_x
_atom_site_fract_y
_atom_site_fract_z
V1 V 0.000 0.000 0.500
Co1 Co 0.000 0.000 0.000
Sn1 Sn 0.500 0.500 0.500
```

***

# 13
Compound: Ba2Cd12Hg5
Source: Alexandria via LeMat-Bulk
Functional: PBE
Structure: relaxed

Calculated values
- DFT formation energy: -0.1759 eV per atom

Cell and atoms, written as CIF:
```
data_Ba2Cd12Hg5
_cell_length_a 10.5511
_cell_length_b 10.5511
_cell_length_c 15.2299
_cell_angle_alpha 90.00
_cell_angle_beta 90.00
_cell_angle_gamma 120.00
_symmetry_space_group_name_H-M 'R -3 m'
_symmetry_Int_Tables_number 166
_symmetry_space_group_name_Hall '-R 3 2"'
loop_
_atom_site_label
_atom_site_type_symbol
_atom_site_fract_x
_atom_site_fract_y
_atom_site_fract_z
Ba1 Ba 0.0000 0.0000 0.1672
Cd1 Cd 0.0000 0.2997 0.5000
Cd2 Cd 0.0144 0.5072 0.6528
Hg1 Hg 0.0000 0.0000 0.4014
Hg2 Hg 0.0000 0.5000 0.0000
```

***

# 14
Compound: InSe
Source: Alexandria via LeMat-Bulk
Functional: PBE
Structure: relaxed

Calculated values
- Energy relative to the elements, uncorrected: -0.52 eV per atom

Cell and atoms, written as CIF:
```
data_InSe
_cell_length_a 4.0827
_cell_length_b 4.0827
_cell_length_c 17.9202
_cell_angle_alpha 90.00
_cell_angle_beta 90.00
_cell_angle_gamma 120.00
_symmetry_space_group_name_H-M 'P -6 m 2'
_symmetry_Int_Tables_number 187
_symmetry_space_group_name_Hall 'P -6 2'
loop_
_atom_site_label
_atom_site_type_symbol
_atom_site_fract_x
_atom_site_fract_y
_atom_site_fract_z
In1 In 0.0000 0.0000 0.0788
In2 In 0.3333 0.6667 0.4212
Se1 Se 0.3333 0.6667 0.1500
Se2 Se 0.6667 0.3333 0.3500
```

***

# 15
Compound: TmMgZn2Ag5
Source: Alexandria via LeMat-Bulk
Functional: PBE
Structure: relaxed

Calculated values
- DFT formation energy: -0.0309 eV per atom

Cell and atoms, written as CIF:
```
data_TmMgZn2Ag5
_cell_length_a 4.791
_cell_length_b 4.791
_cell_length_c 7.799
_cell_angle_alpha 90.00
_cell_angle_beta 90.00
_cell_angle_gamma 90.00
_symmetry_space_group_name_H-M 'P 4/m m m'
_symmetry_Int_Tables_number 123
_symmetry_space_group_name_Hall '-P 4 2'
loop_
_atom_site_label
_atom_site_type_symbol
_atom_site_fract_x
_atom_site_fract_y
_atom_site_fract_z
Tm1 Tm 0.000 0.000 0.000
Mg1 Mg 0.000 0.000 0.500
Zn1 Zn 0.500 0.500 0.348
Ag1 Ag 0.000 0.500 0.234
Ag2 Ag 0.500 0.500 0.000
```

***

# 16
Compound: TbGa3AgPd
Source: Alexandria via LeMat-Bulk
Functional: PBE
Structure: relaxed

Calculated values
- DFT formation energy: -0.3597 eV per atom

Cell and atoms, written as CIF:
```
data_TbGa3AgPd
_cell_length_a 5.840
_cell_length_b 13.008
_cell_length_c 6.111
_cell_angle_alpha 90.00
_cell_angle_beta 90.00
_cell_angle_gamma 90.00
_symmetry_space_group_name_H-M 'C m c m'
_symmetry_Int_Tables_number 63
_symmetry_space_group_name_Hall '-C 2c 2'
loop_
_atom_site_label
_atom_site_type_symbol
_atom_site_fract_x
_atom_site_fract_y
_atom_site_fract_z
Tb1 Tb 0.000 0.198 0.250
Ga1 Ga 0.000 0.368 0.750
Ga2 Ga 0.216 0.000 0.000
Ag1 Ag 0.000 0.162 0.750
Pd1 Pd 0.000 0.408 0.250
```

***

# 17
Compound: Rb5LiTl6
Source: Alexandria via LeMat-Bulk
Functional: PBE
Structure: relaxed

Calculated values
- DFT formation energy: -0.0478 eV per atom

Cell and atoms, written as CIF:
```
data_Rb5LiTl6
_cell_length_a 7.746
_cell_length_b 17.020
_cell_length_c 9.209
_cell_angle_alpha 90.00
_cell_angle_beta 113.21
_cell_angle_gamma 90.00
_symmetry_space_group_name_H-M 'C 1 2/m 1'
_symmetry_Int_Tables_number 12
_symmetry_space_group_name_Hall '-C 2y'
loop_
_atom_site_label
_atom_site_type_symbol
_atom_site_fract_x
_atom_site_fract_y
_atom_site_fract_z
Rb1 Rb 0.000 0.000 0.000
Rb2 Rb 0.000 0.283 0.000
Rb3 Rb 0.000 0.360 0.500
Li1 Li 0.000 0.000 0.500
Tl1 Tl 0.078 0.146 0.680
Tl2 Tl 0.156 0.500 0.187
```

***

# 18
Compound: K2TmSbS4
Source: Alexandria via LeMat-Bulk
Functional: PBE
Structure: relaxed

Calculated values
- Energy relative to the elements, uncorrected: -1.29 eV per atom

Cell and atoms, written as CIF:
```
data_K2TmSbS4
_cell_length_a 7.039
_cell_length_b 4.030
_cell_length_c 7.700
_cell_angle_alpha 90.00
_cell_angle_beta 107.42
_cell_angle_gamma 90.00
_symmetry_space_group_name_H-M 'P 1 2/m 1'
_symmetry_Int_Tables_number 10
_symmetry_space_group_name_Hall '-P 2y'
loop_
_atom_site_label
_atom_site_type_symbol
_atom_site_fract_x
_atom_site_fract_y
_atom_site_fract_z
K1 K 0.000 0.000 0.000
K2 K 0.500 0.500 0.000
Tm1 Tm 0.000 0.500 0.500
Sb1 Sb 0.500 0.000 0.500
S1 S 0.228 0.000 0.700
S2 S 0.260 0.500 0.297
```

***

# 19
Compound: AcLa5In2
Source: Alexandria via LeMat-Bulk
Functional: PBE
Structure: relaxed

Calculated values
- E above lowest polymorph: 125 meV per atom
- DFT formation energy: -0.1525 eV per atom

Cell and atoms, written as CIF:
```
data_AcLa5In2
_cell_length_a 5.509
_cell_length_b 12.684
_cell_length_c 16.376
_cell_angle_alpha 90.00
_cell_angle_beta 90.00
_cell_angle_gamma 90.00
_symmetry_space_group_name_H-M 'C m c m'
_symmetry_Int_Tables_number 63
_symmetry_space_group_name_Hall '-C 2c 2'
loop_
_atom_site_label
_atom_site_type_symbol
_atom_site_fract_x
_atom_site_fract_y
_atom_site_fract_z
Ac1 Ac 0.000 0.198 0.250
La1 La 0.000 0.080 0.750
La2 La 0.000 0.128 0.028
La3 La 0.000 0.446 0.106
In1 In 0.000 0.291 0.626
```

***

# 20
Compound: CrBAs3
Source: Alexandria via LeMat-Bulk
Functional: PBE
Structure: relaxed

Calculated values
- E above lowest polymorph: 0 meV per atom
- DFT formation energy: 1.1438 eV per atom

Cell and atoms, written as CIF:
```
data_CrBAs3
_cell_length_a 4.326
_cell_length_b 4.326
_cell_length_c 4.326
_cell_angle_alpha 90.00
_cell_angle_beta 90.00
_cell_angle_gamma 90.00
_symmetry_space_group_name_H-M 'P m -3 m'
_symmetry_Int_Tables_number 221
_symmetry_space_group_name_Hall '-P 4 2 3'
loop_
_atom_site_label
_atom_site_type_symbol
_atom_site_fract_x
_atom_site_fract_y
_atom_site_fract_z
Cr1 Cr 0.000 0.000 0.000
B1 B 0.500 0.500 0.500
As1 As 0.000 0.500 0.500
```